Pt2Rh2Pb PBE relaxed; calculated total energy = -5.859 eV per atom; E_form = 0.240 eV per atom
1.0
3.760 0.000 0.000
0.000 3.760 0.000
1.880 1.880 6.567
Rh Pb Pt
2 1 2
Cartesian
1.880 3.760 3.284
3.760 1.880 3.284
0.000 0.000 0.000
3.760 3.760 5.205
1.880 1.880 1.362

=====

PtRhPb2 PBE relaxed; calculated total energy = -5.190 eV per atom; E_form = 0.012 eV per atom
1.0
3.514 0.000 0.000
0.000 3.514 0.000
0.000 0.000 7.094
Pt Pb Rh
1 2 1
Cartesian
0.000 0.000 3.697
0.000 0.000 6.598
1.757 1.757 2.239
1.757 1.757 5.200

=====

Pt2RhPb PBE relaxed; calculated total energy = -5.697 eV per atom; E_form = 0.089 eV per atom
1.0
3.031 0.000 0.000
0.000 3.900 0.000
0.000 0.000 5.903
Rh Pt Pb
1 2 1
Cartesian
0.000 0.000 2.871
0.000 0.000 0.136
1.515 1.950 1.470
1.515 1.950 4.379

=====

PtRhPb2 PBE relaxed; calculated total energy = -4.954 eV per atom; E_form = 0.249 eV per atom
1.0
0.000 3.462 3.462
3.462 0.000 3.462
3.462 3.462 0.000
Rh Pb Pt
1 2 1
Cartesian
1.731 1.731 1.731
0.000 0.000 0.000
5.193 5.193 5.193
3.462 3.462 3.462

=====

PtRhPb2 PBE relaxed; calculated total energy = -5.081 eV per atom; E_form = 0.122 eV per atom
1.0
3.469 0.000 0.000
0.000 4.620 -0.001
0.000 2.220 5.224
Pb Rh Pt
2 1 1
Cartesian
1.734 3.420 2.612
0.000 0.000 0.000
0.000 1.110 2.612
1.734 2.310 0.000

=====

Pt2RhPb PBE relaxed; calculated total energy = -5.623 eV per atom; E_form = 0.163 eV per atom
1.0
-3.164 -1.421 1.756
2.201 -2.620 1.846
0.806 4.300 9.239
Pt Pb Rh
4 2 2
Cartesian
1.130 -0.763 3.711
-0.274 -0.269 10.050
0.279 1.667 8.309
-1.450 -0.118 3.609
-1.420 0.429 6.397
0.000 0.000 0.000
-0.482 -2.021 1.801
1.263 -0.171 6.442